Record 1
## DyZn4CuNi2 (PBE)

Data for an optimized crystal structure of DyZn4CuNi2.

Cell lengths 4.1264, 4.1264, 8.6616 Å; angles 76.22, 76.22, 60.00 degrees
Last column: nearest neighbours and their distance in Å.
Positions (direct):
Zn 0.4023 0.4023 0.7930  1 Cu 2.44, 3 Ni 2.50
Zn 0.5977 0.5977 0.2070  1 Cu 2.44, 3 Ni 2.50
Zn 0.8700 0.8700 0.3899  4 Ni 2.51-2.61, 3 Cu 2.55
Zn 0.1300 0.1300 0.6101  4 Ni 2.51-2.61, 3 Cu 2.55
Ni 0.7655 0.7655 0.7035  7 Zn 2.50-2.61
Ni 0.2345 0.2345 0.2965  7 Zn 2.50-2.61
Cu 0.5000 0.5000 0.5000  8 Zn 2.44-2.55
Dy 0.0000 0.0000 0.0000  8 Zn 2.94-3.25

energy relative to the elements	-153.2	kJ/mol of formula units
space group	R-3m, No. 166
volume	122.8	Å³/cell

***

Record 2
## Dy3HoH (PBE)

Data for an optimized crystal structure of Dy3HoH.

Cell lengths 4.9741, 4.9741, 4.9741 Å; angles 90.00, 90.00, 90.00 degrees
Last column: nearest neighbours and their distance in Å.
Positions (direct):
H 0.0000 0.0000 0.0000  6 Dy 2.49
Dy 0.0000 0.0000 0.5000  2 H 2.49
Dy 0.5000 0.0000 0.0000  2 H 2.49
Dy 0.0000 0.5000 0.0000  2 H 2.49
Ho 0.5000 0.5000 0.5000  12 Dy 3.52

DFT total energy	-22.6	eV for the cell shown
space group	Pm-3m, No. 221
volume	123.1	Å³/cell

***

Record 3
## Tb2Zn3Cu12Si (PBE)

Data for an optimized crystal structure of Tb2Zn3Cu12Si.

Cell lengths 9.4308, 9.4308, 9.4308 Å; angles 38.24, 38.24, 38.24 degrees
Last column: nearest neighbours and their distance in Å.
Positions (direct):
Cu 0.5796 0.1911 0.5796  2 Zn 2.40, 4 Cu 2.40-2.46
Cu 0.4204 0.8089 0.4204  2 Zn 2.40, 4 Cu 2.40-2.46
Cu 0.1911 0.5796 0.5796  2 Zn 2.40, 4 Cu 2.40-2.46
Cu 0.6396 0.0791 0.0791  1 Si 2.36, 2 Cu 2.46, 1 Zn 2.61
Cu 0.0791 0.6396 0.0791  1 Si 2.36, 2 Cu 2.46, 1 Zn 2.61
Cu 0.8089 0.4204 0.4204  2 Zn 2.40, 4 Cu 2.40-2.46
Cu 0.9209 0.9209 0.3604  1 Si 2.36, 2 Cu 2.46, 1 Zn 2.61
Cu 0.9209 0.3604 0.9209  1 Si 2.36, 2 Cu 2.46, 1 Zn 2.61
Cu 0.0791 0.0791 0.6396  1 Si 2.36, 2 Cu 2.46, 1 Zn 2.61
Cu 0.3604 0.9209 0.9209  1 Si 2.36, 2 Cu 2.46, 1 Zn 2.61
Cu 0.5796 0.5796 0.1911  2 Zn 2.40, 4 Cu 2.40-2.46
Cu 0.4204 0.4204 0.8089  2 Zn 2.40, 4 Cu 2.40-2.46
Tb 0.3507 0.3507 0.3507  6 Cu 2.95-2.99
Tb 0.6493 0.6493 0.6493  6 Cu 2.95-2.99
Zn 0.0000 0.5000 0.0000  6 Cu 2.40-2.61
Zn 0.0000 0.0000 0.5000  6 Cu 2.40-2.61
Zn 0.5000 0.0000 0.0000  6 Cu 2.40-2.61
Si 0.0000 0.0000 0.0000  6 Cu 2.36

DFT total energy	-66.3	eV for the cell shown
space group	R-3m, No. 166
volume	288.6	Å³/cell

***

Record 4
## Cd3PI3 (PBE)

Data for an optimized crystal structure of Cd3PI3.

Cell lengths 4.5007, 7.4648, 7.8851 Å; angles 90.17, 90.00, 90.00 degrees
Last column: nearest neighbours and their distance in Å.
Positions (direct):
I 0.0000 0.4421 0.3321  3 Cd 2.98-3.05
I 0.5000 0.4455 0.8190  2 Cd 2.84-2.85
I 0.0000 0.9419 0.6734  3 Cd 2.97-3.05
Cd 0.0000 0.0357 0.2969  2 P 2.52
Cd 0.5000 0.6107 0.1440  1 P 2.51
Cd 0.5000 0.0713 0.8870  1 P 2.50
P 0.5000 0.9450 0.1809  4 Cd 2.50-2.52

DFT total energy	-15.8	eV for the cell shown
space group	Pm, No. 6
volume	264.9	Å³/cell

***

Record 5
## Tb8Dy2In (PBE)

Data for an optimized crystal structure of Tb8Dy2In.

Cell lengths 5.3381, 8.3166, 9.0088 Å; angles 114.58, 107.23, 90.00 degrees
Last column: nearest neighbours and their distance in Å.
Positions (direct):
Tb 0.6043 0.4328 0.2086  2 Dy 3.24, 1 In 3.25, 3 Tb 3.32-3.59
Tb 0.9794 0.2700 0.9588  7 Tb 3.32-3.60, 1 Dy 3.43, 2 In 3.60
Tb 0.0206 0.7300 0.0412  7 Tb 3.32-3.60, 1 Dy 3.43, 2 In 3.60
Tb 0.6697 0.9059 0.3395  1 In 3.34, 3 Dy 3.40-3.59, 8 Tb 3.43-3.69
Tb 0.3957 0.5672 0.7914  2 Dy 3.24, 1 In 3.25, 3 Tb 3.32-3.59
Tb 0.1595 0.2028 0.3190  7 Tb 3.38-3.69, 3 Dy 3.45-3.46, 2 In 3.67
Tb 0.3303 0.0941 0.6605  1 In 3.34, 3 Dy 3.40-3.59, 8 Tb 3.43-3.69
Tb 0.8405 0.7972 0.6810  7 Tb 3.38-3.69, 3 Dy 3.45-3.46, 2 In 3.67
Dy 0.1995 0.6486 0.3990  9 Tb 3.24-3.59
Dy 0.8005 0.3514 0.6010  9 Tb 3.24-3.59
In 0.5000 0.0000 0.0000  8 Tb 3.25-3.60

energy relative to the elements	-4.5	kJ/mol of formula units
space group	C2/m, No. 12
volume	343.9	Å³/cell

***

Record 6
## Tb2SmThS4 (PBE)

Data for an optimized crystal structure of Tb2SmThS4.

Cell lengths 3.9461, 6.9346, 6.8760 Å; angles 70.86, 90.00, 90.00 degrees
Last column: nearest neighbours and their distance in Å.
Positions (direct):
S 0.5000 0.2409 0.7515  3 Tb 2.77-2.78, 2 Sm 2.84, 1 Th 2.86
S 0.0000 0.2393 0.2554  3 Tb 2.76-2.78, 1 Sm 2.84, 2 Th 2.86
S 0.5000 0.7591 0.2485  3 Tb 2.77-2.78, 2 Sm 2.84, 1 Th 2.86
S 0.0000 0.7607 0.7446  3 Tb 2.76-2.78, 1 Sm 2.84, 2 Th 2.86
Tb 0.0000 0.0000 0.0000  6 S 2.78
Tb 0.5000 0.0000 0.5000  6 S 2.76-2.77
Th 0.5000 0.5000 0.0000  6 S 2.86
Sm 0.0000 0.5000 0.5000  6 S 2.84

DFT total energy	-53.6	eV for the cell shown
space group	P2/m, No. 10
volume	177.8	Å³/cell

***

Record 7
## MgBeSi2N (PBE)

Data for an optimized crystal structure of MgBeSi2N.

Cell lengths 3.9829, 4.6334, 3.9829 Å; angles 90.00, 90.00, 90.00 degrees
Last column: nearest neighbours and their distance in Å.
Positions (direct):
N 0.5000 0.5000 0.5000  4 Mg 2.82, 8 Si 3.05
Mg 0.0000 0.5000 0.0000  2 Be 2.32
Be 0.0000 0.0000 0.0000  4 Si 1.99
Si 0.5000 0.0000 0.0000  2 Be 1.99
Si 0.0000 0.0000 0.5000  2 Be 1.99

DFT total energy	-18.8	eV for the cell shown
space group	P4/mmm, No. 123
volume	73.5	Å³/cell

***

Record 8
## KP2PdO8 (PBE)

Data for an optimized crystal structure of KP2PdO8.

Cell lengths 4.8383, 4.8383, 8.4731 Å; angles 90.00, 90.00, 120.00 degrees
Last column: nearest neighbours and their distance in Å.
Positions (direct):
O 0.6874 0.0370 0.3583  1 P 1.57
O 0.9630 0.6504 0.3583  1 P 1.57
O 0.6667 0.3333 0.1204  1 P 1.52
O 0.0370 0.3496 0.6417  1 P 1.57
O 0.3333 0.6667 0.8796  1 P 1.52
O 0.3496 0.3126 0.3583  1 P 1.57
O 0.6504 0.6874 0.6417  1 P 1.57
O 0.3126 0.9630 0.6417  1 P 1.57
P 0.3333 0.6667 0.7004  4 O 1.52-1.57
P 0.6667 0.3333 0.2996  4 O 1.52-1.57
Pd 0.0000 0.0000 0.5000  6 O 2.01
K 0.0000 0.0000 0.0000  6 O 2.97

DFT total energy	-75.5	eV for the cell shown
space group	P-3, No. 147
volume	171.8	Å³/cell

***

Record 9
## Rb2MgI3 (PBE)

Data for an optimized crystal structure of Rb2MgI3.

Cell lengths 4.8720, 5.9352, 10.7010 Å; angles 106.10, 103.16, 90.00 degrees
Last column: nearest neighbours and their distance in Å.
Positions (direct):
Mg 0.0000 0.0000 0.0000  4 I 2.97-3.23
Rb 0.6511 0.6511 0.3023  7 I 3.74-3.88
Rb 0.3489 0.3489 0.6977  7 I 3.74-3.88
I 0.0000 0.5000 0.0000  2 Mg 2.97
I 0.1615 0.1615 0.3230  1 Mg 3.23
I 0.8385 0.8385 0.6770  1 Mg 3.23

DFT total energy	-14.6	eV for the cell shown
space group	Immm, No. 71
volume	288.8	Å³/cell

***

Record 10
## AcAl6Pt2 (PBE)

Data for an optimized crystal structure of AcAl6Pt2.

Cell lengths 4.6334, 4.6334, 7.9868 Å; angles 90.00, 90.00, 90.00 degrees
Last column: nearest neighbours and their distance in Å.
Positions (direct):
Al 0.5000 0.0000 0.6902  2 Pt 2.54, 4 Al 2.77
Al 0.0000 0.5000 0.3098  2 Pt 2.54, 4 Al 2.77
Al 0.5000 0.0000 0.3098  2 Pt 2.54, 4 Al 2.77
Al 0.0000 0.5000 0.6902  2 Pt 2.54, 4 Al 2.77
Al 0.5000 0.5000 0.5000  2 Pt 2.57, 8 Al 2.77
Al 0.0000 0.0000 0.5000  8 Al 2.77
Ac 0.0000 0.0000 0.0000  8 Al 3.39, 8 Pt 3.57
Pt 0.5000 0.5000 0.8220  5 Al 2.54-2.57, 1 Pt 2.84
Pt 0.5000 0.5000 0.1780  5 Al 2.54-2.57, 1 Pt 2.84

energy relative to the elements	-546.2	kJ/mol of formula units
space group	P4/mmm, No. 123
volume	171.5	Å³/cell

***

Record 11
## BaMgCo2 (PBE)

Data for an optimized crystal structure of BaMgCo2.

Cell lengths 3.5415, 3.5372, 6.9431 Å; angles 90.00, 90.00, 90.00 degrees
Last column: nearest neighbours and their distance in Å.
Positions (direct):
Co 0.0000 0.0000 0.0921  1 Co 2.19
Co 0.0000 0.0000 0.4079  1 Co 2.19
Ba 0.5000 0.5000 0.7500  8 Co 3.45, 2 Mg 3.47, 4 Ba 3.54
Mg 0.5000 0.5000 0.2500  8 Co 2.73

energy relative to the elements	170.6	kJ/mol of formula units
space group	P4/mmm, No. 123
volume	87.0	Å³/cell

***

Record 12
## CsRb2TlGa (PBE)

Data for an optimized crystal structure of CsRb2TlGa.

Cell lengths 7.2549, 7.2549, 5.7318 Å; angles 90.00, 90.00, 90.00 degrees
Last column: nearest neighbours and their distance in Å.
Positions (direct):
Rb 0.0000 0.5000 0.0000  2 Tl 3.63
Rb 0.5000 0.0000 0.0000  2 Tl 3.63
Tl 0.0000 0.0000 0.0000  2 Ga 2.87
Cs 0.5000 0.5000 0.5000  8 Rb 4.62, 4 Ga 5.13
Ga 0.0000 0.0000 0.5000  2 Tl 2.87

offset from the most stable computed form	17	kJ/mol of formula units
energy relative to the elements	51.6	kJ/mol of formula units
space group	P4/mmm, No. 123
volume	301.7	Å³/cell

***

> The lowest volume belongs to which entry?

MgBeSi2N